(1)
Computed, not measured: AlInSi after structural relaxation at the GGA-PBEsol level of DFT.

Computed properties:
E above lowest polymorph: 0.245 eV/atom
SG: F-43m
crystal system: cubic
formation energy from raw total energies: 0.50 eV/atom

Structure (extended XYZ):
```
3
Lattice="0.000 3.235 3.235 3.235 0.000 3.235 3.235 3.235 0.000" Properties=species:S:1:pos:R:3 pbc="T T T"
Al 0.000 0.000 0.000
In 1.618 1.618 1.618
Si 3.235 3.235 3.235
```

=====

(2)
Computed, not measured: Co2BiCN after structural relaxation at the GGA-PBEsol level of DFT.

Computed properties:
SG: P4/mmm
crystal system: tetragonal
formation energy from raw total energies: 1.03 eV/atom

Structure (extended XYZ):
```
5
Lattice="3.569 0.000 0.000 0.000 3.569 0.000 0.000 0.000 5.325" Properties=species:S:1:pos:R:3 pbc="T T T"
Co 0.000 1.785 0.000
Co 1.785 0.000 0.000
Bi 0.000 0.000 2.662
C 0.000 0.000 0.000
N 1.785 1.785 2.662
```

=====

(3)
Computed, not measured: Na2BeN after structural relaxation at the GGA-PBEsol level of DFT.

Computed properties:
SG: I-42d
crystal system: tetragonal
formation energy from raw total energies: -0.28 eV/atom

Structure (extended XYZ):
```
8
Lattice="-4.969 4.969 1.531 4.969 -4.969 1.531 4.969 4.969 -1.531" Properties=species:S:1:pos:R:3 pbc="T T T"
Na -0.652 2.484 0.383
Na 2.484 4.317 1.148
Na 0.652 7.453 0.383
Na -2.484 5.620 1.148
Be 4.969 0.000 0.765
Be 0.000 0.000 1.531
N 0.000 0.000 0.000
N 0.000 4.969 0.765
```

=====

(4)
Computed, not measured: ReSe2BrF after structural relaxation at the GGA-PBEsol level of DFT.

Computed properties:
SG: P4/mmm
crystal system: tetragonal
formation energy from raw total energies: 0.20 eV/atom

Structure (extended XYZ):
```
5
Lattice="4.715 0.000 0.000 0.000 4.715 0.000 0.000 0.000 5.054" Properties=species:S:1:pos:R:3 pbc="T T T"
Re 0.000 0.000 0.000
Se 0.000 2.358 0.000
Se 2.358 0.000 0.000
Br 0.000 0.000 2.527
F 2.358 2.358 2.527
```

=====

(5)
Computed, not measured: Sc5Pt after structural relaxation at the GGA-PBEsol level of DFT.

Computed properties:
E above lowest polymorph: 0.048 eV/atom
SG: P4/mmm
crystal system: tetragonal

Structure (extended XYZ):
```
6
Lattice="3.305 0.000 0.000 0.000 3.305 0.000 0.000 0.000 11.799" Properties=species:S:1:pos:R:3 pbc="T T T"
Sc 0.000 0.000 0.000
Sc 0.000 0.000 4.352
Sc 0.000 0.000 7.447
Sc 1.652 1.652 2.148
Sc 1.652 1.652 9.651
Pt 1.652 1.652 5.899
```

=====

(6)
Computed, not measured: Ta2NbGe2 after structural relaxation at the GGA-PBEsol level of DFT.

Computed properties:
SG: P4/mbm
total DFT energy (no corrections): -47.7 eV/f.u.
crystal system: tetragonal

Structure (extended XYZ):
```
10
Lattice="6.817 0.000 0.000 0.000 6.817 0.000 0.000 0.000 3.519" Properties=species:S:1:pos:R:3 pbc="T T T"
Ta 1.123 2.285 0.000
Ta 2.285 5.694 0.000
Ta 4.532 1.123 0.000
Ta 5.694 4.532 0.000
Nb 0.000 0.000 1.759
Nb 3.409 3.409 1.759
Ge 0.919 4.327 1.759
Ge 2.490 0.919 1.759
Ge 4.327 5.898 1.759
Ge 5.898 2.490 1.759
```

=====

no.,DOS at the Fermi energy (states/eV/cell)
1,0.9
2,5.5
3,1.5
4,3.1
5,9.1
6,6.5